Record 1
{
  "formula": "CdInSb2",
  "functional": "PBE",
  "state": "optimized geometry",
  "lattice": [[4.047, 0.000, 0.000], [0.000, 5.010, 0.000], [0.000, 0.000, 5.286]],
  "species": ["Cd", "In", "Sb", "Sb"],
  "frac_coords": [[0.000, 0.000, 0.000], [0.500, 0.000, 0.500], [0.000, 0.500, 0.500], [0.500, 0.500, 0.000]],
  "e_tot_ry_per_atom": -0.209
}

***

Record 2
{
  "formula": "TiH42N14Cl3",
  "functional": "PBE",
  "state": "optimized geometry",
  "lattice": [[9.243, 0.000, 0.000], [0.000, 9.437, 0.000], [-0.585, 0.000, 12.704]],
  "species": ["Ti", "Ti", "H", "H", "H", "H", "H", "H", "H", "H", "H", "H", "H", "H", "H", "H", "H", "H", "H", "H", "H", "H", "H", "H", "H", "H", "H", "H", "H", "H", "H", "H", "H", "H", "H", "H", "H", "H", "H", "H", "H", "H", "H", "H", "H", "H", "H", "H", "H", "H", "H", "H", "H", "H", "H", "H", "H", "H", "H", "H", "H", "H", "H", "H", "H", "H", "H", "H", "H", "H", "H", "H", "H", "H", "H", "H", "H", "H", "H", "H", "H", "H", "H", "H", "H", "H", "N", "N", "N", "N", "N", "N", "N", "N", "N", "N", "N", "N", "N", "N", "N", "N", "N", "N", "N", "N", "N", "N", "N", "N", "N", "N", "N", "N", "Cl", "Cl", "Cl", "Cl", "Cl", "Cl"],
  "frac_coords": [[0.000, 0.229, 0.250], [0.000, 0.771, 0.750], [0.011, 0.386, 0.066], [0.011, 0.614, 0.566], [0.022, 0.492, 0.657], [0.022, 0.508, 0.157], [0.070, 0.053, 0.838], [0.070, 0.947, 0.338], [0.119, 0.172, 0.054], [0.119, 0.828, 0.554], [0.129, 0.075, 0.416], [0.129, 0.925, 0.916], [0.153, 0.310, 0.862], [0.153, 0.690, 0.362], [0.155, 0.029, 0.124], [0.155, 0.971, 0.624], [0.168, 0.420, 0.128], [0.168, 0.580, 0.628], [0.211, 0.298, 0.406], [0.211, 0.702, 0.906], [0.215, 0.314, 0.744], [0.215, 0.686, 0.244], [0.223, 0.029, 0.314], [0.223, 0.971, 0.814], [0.226, 0.426, 0.318], [0.226, 0.574, 0.818], [0.261, 0.168, 0.140], [0.261, 0.832, 0.640], [0.306, 0.269, 0.301], [0.306, 0.731, 0.801], [0.329, 0.314, 0.848], [0.329, 0.686, 0.348], [0.367, 0.207, 0.574], [0.367, 0.793, 0.074], [0.408, 0.397, 0.025], [0.408, 0.603, 0.525], [0.414, 0.468, 0.607], [0.414, 0.532, 0.107], [0.447, 0.370, 0.150], [0.447, 0.630, 0.650], [0.498, 0.111, 0.627], [0.498, 0.889, 0.127], [0.499, 0.154, 0.502], [0.499, 0.846, 0.002], [0.501, 0.154, 0.998], [0.501, 0.846, 0.498], [0.502, 0.111, 0.873], [0.502, 0.889, 0.373], [0.553, 0.370, 0.350], [0.553, 0.630, 0.850], [0.586, 0.468, 0.893], [0.586, 0.532, 0.393], [0.592, 0.397, 0.475], [0.592, 0.603, 0.975], [0.633, 0.207, 0.926], [0.633, 0.793, 0.426], [0.671, 0.314, 0.652], [0.671, 0.686, 0.152], [0.694, 0.269, 0.199], [0.694, 0.731, 0.699], [0.739, 0.168, 0.360], [0.739, 0.832, 0.860], [0.774, 0.426, 0.182], [0.774, 0.574, 0.682], [0.777, 0.029, 0.186], [0.777, 0.971, 0.686], [0.785, 0.314, 0.756], [0.785, 0.686, 0.256], [0.789, 0.298, 0.094], [0.789, 0.702, 0.594], [0.832, 0.420, 0.372], [0.832, 0.580, 0.872], [0.845, 0.029, 0.376], [0.845, 0.971, 0.876], [0.847, 0.310, 0.638], [0.847, 0.690, 0.138], [0.871, 0.075, 0.084], [0.871, 0.925, 0.584], [0.881, 0.172, 0.446], [0.881, 0.828, 0.946], [0.930, 0.053, 0.662], [0.930, 0.947, 0.162], [0.978, 0.492, 0.843], [0.978, 0.508, 0.343], [0.989, 0.386, 0.434], [0.989, 0.614, 0.934], [0.058, 0.409, 0.139], [0.058, 0.591, 0.639], [0.120, 0.044, 0.338], [0.120, 0.956, 0.838], [0.155, 0.138, 0.127], [0.155, 0.862, 0.627], [0.213, 0.317, 0.326], [0.213, 0.683, 0.826], [0.232, 0.355, 0.819], [0.232, 0.645, 0.319], [0.382, 0.428, 0.099], [0.382, 0.572, 0.599], [0.477, 0.193, 0.575], [0.477, 0.807, 0.075], [0.523, 0.193, 0.925], [0.523, 0.807, 0.425], [0.618, 0.428, 0.401], [0.618, 0.572, 0.901], [0.768, 0.355, 0.681], [0.768, 0.645, 0.181], [0.787, 0.317, 0.174], [0.787, 0.683, 0.674], [0.845, 0.138, 0.373], [0.845, 0.862, 0.873], [0.880, 0.044, 0.162], [0.880, 0.956, 0.662], [0.942, 0.409, 0.361], [0.942, 0.591, 0.861], [0.096, 0.219, 0.575], [0.096, 0.781, 0.075], [0.500, 0.116, 0.250], [0.500, 0.884, 0.750], [0.904, 0.219, 0.925], [0.904, 0.781, 0.425]],
  "e_tot_ry_per_atom": -0.368
}

***

Record 3
{
  "formula": "DyEr2UAs4",
  "functional": "PBE",
  "state": "optimized geometry",
  "lattice": [[7.079, 0.000, 0.000], [0.000, 4.076, 0.000], [-2.329, 0.000, 6.688]],
  "species": ["Dy", "Er", "Er", "U", "As", "As", "As", "As"],
  "frac_coords": [[0.000, 0.000, 0.000], [0.500, 0.000, 0.500], [0.500, 0.500, 0.000], [0.000, 0.500, 0.500], [0.250, 0.500, 0.254], [0.251, 0.000, 0.749], [0.749, 0.000, 0.251], [0.750, 0.500, 0.746]],
  "formation_energy_ev_per_atom": -1.32,
  "e_tot_ry_per_atom": -0.498
}

***

Record 4
{
  "formula": "Tl2CrGa",
  "functional": "PBE",
  "state": "optimized geometry",
  "lattice": [[0.000, 3.605, 3.605], [3.605, 0.000, 3.605], [3.605, 3.605, 0.000]],
  "species": ["Tl", "Tl", "Cr", "Ga"],
  "frac_coords": [[0.250, 0.250, 0.250], [0.750, 0.750, 0.750], [0.000, 0.000, 0.000], [0.500, 0.500, 0.500]],
  "formation_energy_ev_per_atom": 0.44,
  "e_tot_ry_per_atom": -0.287
}

***

Record 5
{
  "formula": "LaCd2Se",
  "functional": "PBE",
  "state": "optimized geometry",
  "lattice": [[-4.410, 4.410, 2.933], [4.410, -4.410, 2.933], [4.410, 4.410, -2.933]],
  "species": ["La", "La", "Cd", "Cd", "Cd", "Cd", "Se", "Se"],
  "frac_coords": [[0.000, 0.000, 0.000], [0.750, 0.250, 0.500], [0.159, 0.625, 0.034], [0.375, 0.409, 0.534], [0.591, 0.125, 0.966], [0.875, 0.841, 0.466], [0.250, 0.750, 0.500], [0.500, 0.500, 0.000]],
  "e_tot_ry_per_atom": -0.232
}

***

Record 6
{
  "formula": "AcZnNi2",
  "functional": "PBE",
  "state": "optimized geometry",
  "lattice": [[2.168, -8.257, 0.000], [2.168, 8.257, 0.000], [0.000, 0.000, 4.349]],
  "species": ["Ac", "Ac", "Zn", "Zn", "Ni", "Ni", "Ni", "Ni"],
  "frac_coords": [[0.106, 0.894, 0.750], [0.894, 0.106, 0.250], [0.318, 0.682, 0.750], [0.682, 0.318, 0.250], [0.250, 0.750, 0.250], [0.469, 0.531, 0.750], [0.531, 0.469, 0.250], [0.750, 0.250, 0.750]],
  "formation_energy_ev_per_atom": -0.27,
  "e_tot_ry_per_atom": -0.331
}

***

Record 7
{
  "formula": "GaFeS2Cl",
  "functional": "PBE",
  "state": "optimized geometry",
  "lattice": [[4.367, 0.000, 0.000], [0.000, 4.367, 0.000], [0.000, 0.000, 5.136]],
  "species": ["Ga", "Fe", "S", "S", "Cl"],
  "frac_coords": [[0.000, 0.000, 0.000], [0.500, 0.500, 0.500], [0.000, 0.500, 0.500], [0.500, 0.000, 0.500], [0.500, 0.500, 0.000]],
  "e_tot_ry_per_atom": -0.323
}